{
  "formula": "AlSi3",
  "functional": "GGA-PBE",
  "state": "relaxed",
  "crystal_system": "orthorhombic",
  "final_energy_ev_per_atom": -4.743,
  "e_above_lowest_polymorph_mev_per_atom": 6,
  "magmom_total_mub_per_fu": 0.000,
  "formation_energy_uncorrected_ev_per_fu": 1.0,
  "cell": [[2.535, -2.664, 0.000], [2.535, 2.664, 0.000], [0.000, 0.000, 4.703]],
  "species": ["Al", "Si", "Si", "Si"],
  "fractional_positions": [[0.000, 0.000, 0.000], [0.259, 0.741, 0.500], [0.500, 0.500, 0.000], [0.741, 0.259, 0.500]]
}